Below is RbMg2PS at its PBEsol-relaxed geometry, with properties calculated at the meta-GGA SCAN level.

```
RbMg2PS
1.0
4.878 0.000 0.000
0.000 4.878 0.000
0.000 0.000 5.602
P S Mg Rb
1 1 2 1
Direct
0.000 0.000 0.000
0.000 0.000 0.500
0.000 0.500 0.000
0.500 0.000 0.000
0.500 0.500 0.500
```

## Properties
As for the symmetry: P4/mmm, No. 123. The formation energy (no corrections) comes out at -0.19 eV per atom.